# KAcWO5

KAcWO5 after structural relaxation (GGA+U, the Alexandria database).

Lattice parameters (Å, degrees): 8.183 10.668 8.649 90.00 112.92 90.00
Space group C2/c (No. 15)
One atom of each set of equivalent atoms:
K 0.000 0.181 0.250 x4
Ac 0.000 0.500 0.000 x4
W 0.000 0.175 0.750 x4
O 0.000 0.420 0.250 x4
O 0.095 0.275 0.635 x8
O 0.168 0.074 0.897 x8

Properties
Calculated total energy   -56.453 eV/f.u.